No. 1
# LiErCdAu

Crystalline LiErCdAu at its relaxed geometry (PBE, Alexandria via LeMat-Bulk).

a = 4.8475 Å, b = 4.8475 Å, c = 4.8475 Å
α = 60.00°, β = 60.00°, γ = 60.00°
Fractional coordinates of all 4 atoms:
Cd 0.7500 0.7500 0.7500
Au 0.0000 0.0000 0.0000
Li 0.5000 0.5000 0.5000
Er 0.2500 0.2500 0.2500

***

No. 2
# PrAl2Ag2

Crystalline PrAl2Ag2 at its relaxed geometry (PBE, Alexandria via LeMat-Bulk).

a = 4.4263 Å, b = 4.4263 Å, c = 10.8087 Å
α = 90.00°, β = 90.00°, γ = 90.00°
Fractional coordinates of all 10 atoms:
Ag 0.0000 0.0000 0.0000
Ag 0.5000 0.0000 0.6311
Ag 0.5000 0.5000 0.0000
Ag 0.0000 0.5000 0.3689
Al 0.0000 0.0000 0.5000
Al 0.0000 0.5000 0.1337
Al 0.5000 0.5000 0.5000
Al 0.5000 0.0000 0.8663
Pr 0.0000 0.5000 0.7502
Pr 0.5000 0.0000 0.2498

***

No. 3
# ThZn2CdPt2

Crystalline ThZn2CdPt2 at its relaxed geometry (PBE, Alexandria via LeMat-Bulk).

a = 4.4397 Å, b = 4.4397 Å, c = 6.8325 Å
α = 90.00°, β = 90.00°, γ = 120.00°
Fractional coordinates of all 6 atoms:
Zn 0.6667 0.3333 0.6844
Zn 0.3333 0.6667 0.3156
Pt 0.6667 0.3333 0.2583
Pt 0.3333 0.6667 0.7417
Cd 0.0000 0.0000 0.5000
Th 0.0000 0.0000 0.0000

***

No. 4
# Al2Zn3

Crystalline Al2Zn3 at its relaxed geometry (PBE, Alexandria via LeMat-Bulk).

a = 10.8157 Å, b = 10.8157 Å, c = 10.8157 Å
α = 15.53°, β = 15.53°, γ = 15.53°
Fractional coordinates of all 5 atoms:
Al 0.5996 0.5996 0.5996
Al 0.4004 0.4004 0.4004
Zn 0.1990 0.1990 0.1990
Zn 0.8010 0.8010 0.8010
Zn 0.0000 0.0000 0.0000

***

No. 5
# Pa2TiPd

Crystalline Pa2TiPd at its relaxed geometry (PBE, Alexandria via LeMat-Bulk).

a = 4.7235 Å, b = 4.1809 Å, c = 4.1809 Å
α = 90.00°, β = 90.00°, γ = 90.00°
Fractional coordinates of all 4 atoms:
Pa 0.0000 0.5000 0.0000
Pa 0.0000 0.0000 0.5000
Ti 0.5000 0.0000 0.0000
Pd 0.5000 0.5000 0.5000

***

No. 6
# MgIn3Pd2

Crystalline MgIn3Pd2 at its relaxed geometry (PBE, Alexandria via LeMat-Bulk).

a = 4.6271 Å, b = 7.6759 Å, c = 7.6759 Å
α = 110.52°, β = 90.00°, γ = 90.00°
Fractional coordinates of all 12 atoms:
In 0.9932 0.8803 0.3779
In 0.4930 0.8951 0.8951
In 0.4932 0.6221 0.1197
In 0.4932 0.1197 0.6221
In 0.9930 0.1049 0.1049
In 0.9932 0.3779 0.8803
Pd 0.9929 0.2602 0.4981
Pd 0.9929 0.4981 0.2602
Pd 0.4929 0.7398 0.5019
Pd 0.4929 0.5019 0.7398
Mg 0.9927 0.6441 0.6441
Mg 0.4927 0.3559 0.3559

***

No. 7
# Tc4Ir5

Crystalline Tc4Ir5 at its relaxed geometry (PBE, Alexandria via LeMat-Bulk).

a = 7.5314 Å, b = 7.5314 Å, c = 5.4317 Å
α = 90.00°, β = 90.00°, γ = 60.00°
Fractional coordinates of all 18 atoms:
Tc 0.3311 0.6689 0.7500
Tc 0.0000 0.3311 0.7500
Tc 0.6689 0.3311 0.2500
Tc 0.3311 0.0000 0.2500
Tc 0.0000 0.6689 0.2500
Tc 0.6689 0.0000 0.7500
Tc 0.0000 0.0000 0.0000
Tc 0.0000 0.0000 0.5000
Ir 0.6687 0.3313 0.7500
Ir 0.6667 0.6667 0.5000
Ir 0.3333 0.3333 0.5000
Ir 0.3313 0.6687 0.2500
Ir 0.6687 0.0000 0.2500
Ir 0.3333 0.3333 0.0000
Ir 0.0000 0.3313 0.2500
Ir 0.0000 0.6687 0.7500
Ir 0.6667 0.6667 0.0000
Ir 0.3313 0.0000 0.7500

***

No. 8
# Zr2MoPdC

Crystalline Zr2MoPdC at its relaxed geometry (PBE, Alexandria via LeMat-Bulk).

a = 5.0515 Å, b = 3.9824 Å, c = 5.0515 Å
α = 90.00°, β = 90.00°, γ = 90.00°
Fractional coordinates of all 5 atoms:
C 0.0000 0.5000 0.0000
Pd 0.5000 0.5000 0.5000
Mo 0.0000 0.0000 0.0000
Zr 0.0000 0.0000 0.5000
Zr 0.5000 0.0000 0.0000

***

No. 9
# Mg2TaMo

Crystalline Mg2TaMo at its relaxed geometry (PBE, Alexandria via LeMat-Bulk).

a = 2.7695 Å, b = 2.7695 Å, c = 9.3926 Å
α = 90.00°, β = 90.00°, γ = 90.00°
Fractional coordinates of all 4 atoms:
Ta 0.5000 0.5000 0.7500
Mo 0.5000 0.5000 0.2500
Mg 0.0000 0.0000 0.0079
Mg 0.0000 0.0000 0.4921

***

No. 10
# CrInRe2Ge

Crystalline CrInRe2Ge at its relaxed geometry (PBE, Alexandria via LeMat-Bulk).

a = 4.4970 Å, b = 4.9176 Å, c = 4.4970 Å
α = 90.00°, β = 90.00°, γ = 90.00°
Fractional coordinates of all 5 atoms:
Cr 0.0000 0.0000 0.0000
In 0.0000 0.5000 0.0000
Re 0.0000 0.0000 0.5000
Re 0.5000 0.0000 0.0000
Ge 0.5000 0.5000 0.5000

***

Asked for energy across the records above, the calculation gives -3.1524 -3.9408 -4.5093 -2.2539 -8.0583 -3.8070 -9.4713 -7.5644 -6.1138 -6.9142 eV/atom in order.